This record from Alexandria via LeMat-Bulk describes a relaxed structure of Cu4P12I. The functional is PBE.

It has space group Im-3 (No. 204), with a = 8.2212 Å, b = 8.2212 Å, c = 8.2212 Å, α = 90.00°, β = 90.00° and γ = 90.00°. The asymmetric unit holds Cu at (0.2500, 0.2500, 0.2500), P at (0.0000, 0.1336, 0.3635) and I at (0.0000, 0.0000, 0.0000).

The calculation puts the total energy at -164.7 eV per cell. As for the crystal system: cubic. The uncorrected formation energy comes out at 0.030 eV/atom.


This record from Alexandria via LeMat-Bulk describes a relaxed structure of HgTe2Pt. The functional is PBE.

It has space group R-3m (No. 166, hexagonal axes), with a = 4.0619 Å, b = 4.0619 Å, c = 23.2333 Å, α = 90.00°, β = 90.00° and γ = 120.00°. The asymmetric unit holds Hg at (0.0000, 0.0000, 0.0000), Te at (0.0000, 0.0000, 0.2264) and Pt at (0.0000, 0.0000, 0.5000).

The calculation puts the total energy at -41.2 eV per cell. As for the crystal system: trigonal. The uncorrected formation energy comes out at -0.275 eV/atom.


This record from Alexandria via LeMat-Bulk describes a relaxed structure of Sr2HoGa3Au4. The functional is PBE.

It has space group P-4m2 (No. 115), with a = 4.5492 Å, b = 4.5492 Å, c = 11.4089 Å, α = 90.00°, β = 90.00° and γ = 90.00°. The asymmetric unit holds Sr at (0.0000, 0.5000, 0.2264), Ho at (0.0000, 0.0000, 0.5000), Ga at (0.0000, 0.5000, 0.8818), Ga at (0.5000, 0.5000, 0.5000), Au at (0.0000, 0.0000, 0.0000), Au at (0.0000, 0.5000, 0.6554) and Au at (0.5000, 0.5000, 0.0000).

The calculation puts the total energy at -36.5 eV per cell. As for the crystal system: tetragonal.